Record 1
DFT (SCAN) results for a PBEsol-optimized structure of SbAsBr2.

Geometry as POSCAR:
```
SbAsBr2
1.0
3.2537 0.0000 0.0000
0.0000 3.2537 0.0000
0.0000 0.0000 8.8411
Sb As Br
1 1 2
Direct
0.0000 0.0000 0.0000
0.0000 0.0000 0.5000
0.5000 0.5000 0.2915
0.5000 0.5000 0.7085
```

## Properties
**Uncorrected formation energy**: 0.4795 eV/atom
**N(E_F)**: 3.31 states/eV per cell
**E above lowest polymorph**: 266 meV/atom
**VASP energy**: -1.7355 Ry per atom

=====

Record 2
DFT (SCAN) results for a PBEsol-optimized structure of TlIn5.

Geometry as POSCAR:
```
TlIn5
1.0
3.2577 0.0000 0.0000
0.0000 3.2577 0.0000
0.0000 0.0000 14.5680
Tl In
1 5
Direct
0.0000 0.0000 0.0000
0.0000 0.0000 0.3369
0.0000 0.0000 0.6631
0.5000 0.5000 0.1747
0.5000 0.5000 0.5000
0.5000 0.5000 0.8253
```

## Properties
**N(E_F)**: 2.42 states/eV per cell
**E above lowest polymorph**: 0 meV/atom
**Formation energy**: 0.059 eV per atom
**VASP energy**: -2.9269 Ry per atom